This record from Alexandria via LeMat-Bulk describes a relaxed Na2CaCeSe4 crystal. The functional is GGA-PBE.

Summary:
Uncorrected formation energy, eV/f.u.: -12.68
DFT total energy, eV/atom: -4.65
Total magnetization, μB per cell: 0.00
Volume, Å³/f.u.: 214.9
Density, g/cm³: 4.19
SG: P2/m (10)

Unit cell a=4.268 b=7.284 c=7.323 alpha=109.23 beta=90.00 gamma=90.00
Positions (direct):
1 Na 0.500 0.000 0.500
2 Na 0.000 0.500 0.500
3 Ca 0.500 0.500 0.000
4 Ce 0.000 0.000 0.000
5 Se 0.500 0.235 0.231
6 Se 0.500 0.765 0.769
7 Se 0.000 0.245 0.769
8 Se 0.000 0.755 0.231